1.
A relaxed CePmPd2 crystal. Source: the Alexandria database, functional GGA-PBE.

a b c (Å): 7.183 7.183 7.183
angles (deg): 90.00 90.00 90.00
Space group Fm-3m (No. 225)
Inequivalent atoms, fractional coordinates:
Ce1 0.000 0.000 0.000 [4 per cell]
Pm1 0.000 0.000 0.500 [4 per cell]
Pd1 0.250 0.250 0.250 [8 per cell]

The value obtained for the magnetic moment is 3.53 μB/cell. As for the crystal system: cubic.

---

2.
A relaxed CePmPdRh crystal. Source: the Alexandria database, functional GGA-PBE.

a b c (Å): 4.170 3.867 11.482
angles (deg): 90.00 90.00 90.00
Space group Amm2 (No. 38)
Inequivalent atoms, fractional coordinates:
Ce1 0.000 0.000 0.000 [2 per cell]
Pm1 0.500 0.000 0.275 [2 per cell]
Pd1 0.000 0.000 0.715 [2 per cell]
Rh1 0.500 0.000 0.532 [2 per cell]

The value obtained for the magnetic moment is 0.55 μB/cell. As for the crystal system: orthorhombic.

---

3.
A relaxed CePmPdRh crystal. Source: the Alexandria database, functional GGA-PBE.

a b c (Å): 7.091 7.091 7.091
angles (deg): 90.00 90.00 90.00
Space group F-43m (No. 216)
Inequivalent atoms, fractional coordinates:
Ce1 0.000 0.000 0.000 [4 per cell]
Pm1 0.000 0.000 0.500 [4 per cell]
Pd1 0.250 0.250 0.250 [4 per cell]
Rh1 0.250 0.250 0.750 [4 per cell]

The value obtained for the magnetic moment is 4.12 μB/cell. As for the crystal system: cubic.

---

For each record above, in turn, the calculated energy relative to the lowest polymorph listed for this composition values are 0.072; 0.000; 0.100 eV per atom.
For each record above, in turn, the calculated ΔE_f values are -2.70; -3.09; -2.69 eV per formula unit.